The following is a DFT calculation (PBE-GGA) of a relaxed structure of MnCdTc2.

```
data_MnCdTc2
_cell_length_a 3.794
_cell_length_b 3.794
_cell_length_c 8.522
_cell_angle_alpha 90.00
_cell_angle_beta 90.00
_cell_angle_gamma 90.00
_space_group_name_H-M_alt 'I 4/m m m'
_space_group_IT_number 139
_space_group_name_Hall '-I 4 2'
loop_
_atom_site_label
_atom_site_type_symbol
_atom_site_fract_x
_atom_site_fract_y
_atom_site_fract_z
_atom_site_occupancy
Mn1 Mn 0.000 0.000 0.000 1
Cd1 Cd 0.000 0.000 0.500 1
Tc1 Tc 0.000 0.500 0.250 1
```

Properties
Size of the total moment   4.677 Bohr magnetons per cell
Energy of formation from the pure elements   418.8 meV/atom

The following is a DFT calculation (PBE-GGA) of a relaxed structure of Pm8Sm3Y2.

```
data_Pm8Sm3Y2
_cell_length_a 20.488
_cell_length_b 7.730
_cell_length_c 5.777
_cell_angle_alpha 90.00
_cell_angle_beta 90.05
_cell_angle_gamma 90.00
_space_group_name_H-M_alt 'C 1 2/m 1'
_space_group_IT_number 12
loop_
_space_group_symop_operation_xyz
'x,y,z'
'-x,-y,-z'
'-x,y,-z'
'x,-y,z'
'x+1/2,y+1/2,z'
'-x+1/2,-y+1/2,-z'
'-x+1/2,y+1/2,-z'
'x+1/2,-y+1/2,z'
loop_
_atom_site_label
_atom_site_type_symbol
_atom_site_fract_x
_atom_site_fract_y
_atom_site_fract_z
_atom_site_occupancy
Pm1 Pm 0.107 0.208 0.000 1
Pm2 Pm 0.134 0.500 0.499 1
Pm3 Pm 0.172 0.000 0.502 1
Sm1 Sm 0.000 0.213 0.500 1
Sm2 Sm 0.000 0.500 0.000 1
Y1 Y 0.241 0.500 0.998 1
```

Properties
Size of the total moment   0.000 Bohr magnetons per cell
Excess energy over the best structure of this formula in the dataset   0.0324 eV/atom
Energy of formation from the pure elements   213.8 meV/atom

The following is a DFT calculation (PBE-GGA) of a relaxed structure of DyY2TcO8.

```
data_DyY2TcO8
_cell_length_a 7.106
_cell_length_b 7.196
_cell_length_c 6.736
_cell_angle_alpha 90.00
_cell_angle_beta 90.00
_cell_angle_gamma 90.00
_space_group_name_H-M_alt 'C m m m'
_space_group_IT_number 65
_space_group_name_Hall '-C 2 2'
loop_
_atom_site_label
_atom_site_type_symbol
_atom_site_fract_x
_atom_site_fract_y
_atom_site_fract_z
_atom_site_occupancy
Dy1 Dy 0.000 0.000 0.000 1
Y1 Y 0.000 0.500 0.249 1
Tc1 Tc 0.000 0.000 0.500 1
O1 O 0.000 0.181 0.292 1
O2 O 0.194 0.500 0.000 1
O3 O 0.232 0.500 0.500 1
```

Properties
Raw formation energy   -2620 meV per atom
Size of the total moment   0.000 Bohr magnetons per cell

The following is a DFT calculation (PBE-GGA) of a relaxed structure of TmSbPdRh.

```
data_TmSbPdRh
_cell_length_a 6.688
_cell_length_b 6.688
_cell_length_c 6.688
_cell_angle_alpha 90.00
_cell_angle_beta 90.00
_cell_angle_gamma 90.00
_space_group_name_H-M_alt 'F -4 3 m'
_space_group_IT_number 216
_space_group_name_Hall 'F -4 2 3'
loop_
_atom_site_label
_atom_site_type_symbol
_atom_site_fract_x
_atom_site_fract_y
_atom_site_fract_z
_atom_site_occupancy
Tm1 Tm 0.000 0.000 0.000 1
Sb1 Sb 0.000 0.000 0.500 1
Pd1 Pd 0.250 0.250 0.750 1
Rh1 Rh 0.250 0.250 0.250 1
```

Properties
Raw formation energy   -793 meV per atom
Size of the total moment   0.000 Bohr magnetons per cell

The following is a DFT calculation (PBE-GGA) of a relaxed structure of AcTmSb3.

```
data_AcTmSb3
_cell_length_a 5.645
_cell_length_b 5.645
_cell_length_c 5.645
_cell_angle_alpha 90.00
_cell_angle_beta 90.00
_cell_angle_gamma 90.00
_space_group_name_H-M_alt 'P m -3 m'
_space_group_IT_number 221
_space_group_name_Hall '-P 4 2 3'
loop_
_atom_site_label
_atom_site_type_symbol
_atom_site_fract_x
_atom_site_fract_y
_atom_site_fract_z
_atom_site_occupancy
Ac1 Ac 0.000 0.000 0.000 1
Tm1 Tm 0.500 0.500 0.500 1
Sb1 Sb 0.000 0.500 0.500 1
```

Properties
Raw formation energy   -342 meV per atom
Size of the total moment   0.000 Bohr magnetons per cell

The following is a DFT calculation (PBE-GGA) of a relaxed structure of TaZn2Rh.

```
data_TaZn2Rh
_cell_length_a 2.808
_cell_length_b 4.749
_cell_length_c 9.353
_cell_angle_alpha 90.00
_cell_angle_beta 90.00
_cell_angle_gamma 90.00
_space_group_name_H-M_alt 'I m m m'
_space_group_IT_number 71
_space_group_name_Hall '-I 2 2'
loop_
_atom_site_label
_atom_site_type_symbol
_atom_site_fract_x
_atom_site_fract_y
_atom_site_fract_z
_atom_site_occupancy
Ta1 Ta 0.000 0.000 0.000 1
Zn1 Zn 0.000 0.500 0.236 1
Rh1 Rh 0.000 0.000 0.500 1
```

Properties
Size of the total moment   0.000 Bohr magnetons per cell
Energy of formation from the pure elements   -106.8 meV/atom

The following is a DFT calculation (PBE-GGA) of a relaxed structure of TmZn10Ag2.

```
data_TmZn10Ag2
_cell_length_a 5.422
_cell_length_b 12.392
_cell_length_c 12.776
_cell_angle_alpha 90.00
_cell_angle_beta 90.00
_cell_angle_gamma 90.00
_space_group_name_H-M_alt 'F m m m'
_space_group_IT_number 69
_space_group_name_Hall '-F 2 2'
loop_
_atom_site_label
_atom_site_type_symbol
_atom_site_fract_x
_atom_site_fract_y
_atom_site_fract_z
_atom_site_occupancy
Tm1 Tm 0.000 0.000 0.000 1
Zn1 Zn 0.000 0.108 0.396 1
Zn2 Zn 0.000 0.180 0.173 1
Zn3 Zn 0.250 0.250 0.000 1
Ag1 Ag 0.250 0.000 0.250 1
```

Properties
Size of the total moment   0.000 Bohr magnetons per cell
Energy of formation from the pure elements   -120.1 meV/atom

The following is a DFT calculation (PBE-GGA) of a relaxed structure of Cs2RbLi.

```
data_Cs2RbLi
_cell_length_a 7.210
_cell_length_b 7.210
_cell_length_c 6.156
_cell_angle_alpha 90.00
_cell_angle_beta 90.00
_cell_angle_gamma 90.00
_space_group_name_H-M_alt 'P 4/m m m'
_space_group_IT_number 123
_space_group_name_Hall '-P 4 2'
loop_
_atom_site_label
_atom_site_type_symbol
_atom_site_fract_x
_atom_site_fract_y
_atom_site_fract_z
_atom_site_occupancy
Cs1 Cs 0.000 0.500 0.000 1
Rb1 Rb 0.000 0.000 0.500 1
Li1 Li 0.500 0.500 0.500 1
```

Properties
Size of the total moment   0.000 Bohr magnetons per cell
Excess energy over the best structure of this formula in the dataset   0.0319 eV/atom
Energy of formation from the pure elements   140.8 meV/atom

The following is a DFT calculation (PBE-GGA) of a relaxed structure of YCuIr2.

```
data_YCuIr2
_cell_length_a 3.115
_cell_length_b 4.730
_cell_length_c 9.031
_cell_angle_alpha 90.00
_cell_angle_beta 90.00
_cell_angle_gamma 90.00
_space_group_name_H-M_alt 'I m m m'
_space_group_IT_number 71
_space_group_name_Hall '-I 2 2'
loop_
_atom_site_label
_atom_site_type_symbol
_atom_site_fract_x
_atom_site_fract_y
_atom_site_fract_z
_atom_site_occupancy
Y1 Y 0.000 0.000 0.000 1
Cu1 Cu 0.000 0.000 0.500 1
Ir1 Ir 0.000 0.500 0.233 1
```

Properties
Size of the total moment   0.000 Bohr magnetons per cell
Excess energy over the best structure of this formula in the dataset   0.1861 eV/atom
Energy of formation from the pure elements   -104.5 meV/atom

The following is a DFT calculation (PBE-GGA) of a relaxed structure of Ta2BeCl.

```
data_Ta2BeCl
_cell_length_a 2.872
_cell_length_b 5.268
_cell_length_c 8.693
_cell_angle_alpha 90.00
_cell_angle_beta 90.00
_cell_angle_gamma 90.00
_space_group_name_H-M_alt 'I m m m'
_space_group_IT_number 71
_space_group_name_Hall '-I 2 2'
loop_
_atom_site_label
_atom_site_type_symbol
_atom_site_fract_x
_atom_site_fract_y
_atom_site_fract_z
_atom_site_occupancy
Ta1 Ta 0.000 0.000 0.243 1
Be1 Be 0.000 0.500 0.000 1
Cl1 Cl 0.000 0.500 0.500 1
```

Properties
Raw formation energy   480 meV per atom
Size of the total moment   0.000 Bohr magnetons per cell
Excess energy over the best structure of this formula in the dataset   0.3785 eV/atom

The following is a DFT calculation (PBE-GGA) of a relaxed structure of YBeP2.

```
data_YBeP2
_cell_length_a 6.492
_cell_length_b 6.492
_cell_length_c 6.492
_cell_angle_alpha 90.00
_cell_angle_beta 90.00
_cell_angle_gamma 90.00
_space_group_name_H-M_alt 'F -4 3 m'
_space_group_IT_number 216
_space_group_name_Hall 'F -4 2 3'
loop_
_atom_site_label
_atom_site_type_symbol
_atom_site_fract_x
_atom_site_fract_y
_atom_site_fract_z
_atom_site_occupancy
Y1 Y 0.000 0.000 0.000 1
Be1 Be 0.250 0.250 0.250 1
P1 P 0.000 0.000 0.500 1
P2 P 0.250 0.250 0.750 1
```

Properties
Size of the total moment   0.000 Bohr magnetons per cell
Energy of formation from the pure elements   165.8 meV/atom

The following is a DFT calculation (PBE-GGA) of a relaxed structure of CsIn2Pb2Br7.

```
data_CsIn2Pb2Br7
_cell_length_a 6.028
_cell_length_b 26.471
_cell_length_c 6.447
_cell_angle_alpha 90.00
_cell_angle_beta 90.00
_cell_angle_gamma 90.00
_space_group_name_H-M_alt 'I m m 2'
_space_group_IT_number 44
loop_
_space_group_symop_operation_xyz
'x,y,z'
'-x,-y,z'
'-x,y,z'
'x,-y,z'
'x+1/2,y+1/2,z+1/2'
'-x+1/2,-y+1/2,z+1/2'
'-x+1/2,y+1/2,z+1/2'
'x+1/2,-y+1/2,z+1/2'
loop_
_atom_site_label
_atom_site_type_symbol
_atom_site_fract_x
_atom_site_fract_y
_atom_site_fract_z
_atom_site_occupancy
Cs1 Cs 0.000 0.000 0.000 1
In1 In 0.000 0.273 0.436 1
Pb1 Pb 0.000 0.390 0.949 1
Br1 Br 0.000 0.110 0.405 1
Br2 Br 0.000 0.272 0.939 1
Br3 Br 0.000 0.397 0.398 1
Br4 Br 0.000 0.500 0.874 1
```

Properties
Raw formation energy   -958 meV per atom
Size of the total moment   0.000 Bohr magnetons per cell

The following is a DFT calculation (PBE-GGA) of a relaxed structure of CsBaPdS2.

```
data_CsBaPdS2
_cell_length_a 5.511
_cell_length_b 5.511
_cell_length_c 6.717
_cell_angle_alpha 90.00
_cell_angle_beta 90.00
_cell_angle_gamma 90.00
_space_group_name_H-M_alt 'P 4/m m m'
_space_group_IT_number 123
_space_group_name_Hall '-P 4 2'
loop_
_atom_site_label
_atom_site_type_symbol
_atom_site_fract_x
_atom_site_fract_y
_atom_site_fract_z
_atom_site_occupancy
Cs1 Cs 0.000 0.000 0.000 1
Ba1 Ba 0.000 0.000 0.500 1
Pd1 Pd 0.500 0.500 0.500 1
S1 S 0.000 0.500 0.000 1
```

Properties
Raw formation energy   775 meV per atom
Size of the total moment   0.000 Bohr magnetons per cell